A relaxed ErPuTlCd crystal, computed with PBE. Values from VASP.

Quantum ESPRESSO input file:
```
&SYSTEM
  ibrav = 0, nat = 4, ntyp = 4
/
ATOMIC_SPECIES
Er 167.26 Er.upf
Pu 244.00 Pu.upf
Tl 204.38 Tl.upf
Cd 112.41 Cd.upf
ATOMIC_POSITIONS angstrom
Er 0.0000 0.0000 0.0000
Pu 3.7786 3.7786 3.7786
Tl 5.6679 5.6679 5.6679
Cd 1.8893 1.8893 1.8893
CELL_PARAMETERS angstrom
0.0000 3.7786 3.7786
3.7786 0.0000 3.7786
3.7786 3.7786 0.0000
```

Properties
Total magnetic moment (μB/f.u.): 6.295
Space group: F-43m (216)
ΔH_f (0 K) (eV/f.u.): -0.529